No. 1
VASP calculation (PBE) on a geometry-optimized Y2NiPt structure.

Its total magnetic moment is 0.0 μB/cell. For the energy relative to the elements, the calculation gives -788 meV/atom.

The space group is P4/mmm (No. 123) and the conventional cell measures 4.913, 4.913 and 3.421 Å, with angles of 90.00, 90.00 and 90.00 degrees. The distinct sites, in fractional coordinates, are Y at (0.000, 0.500, 0.000), Ni at (0.000, 0.000, 0.500) and Pt at (0.500, 0.500, 0.500).

=====

No. 2
VASP calculation (PBE) on a geometry-optimized TaTe4 structure.

Its total magnetic moment is 0.2 μB/cell. The value obtained for the formation energy (no corrections) is 0.38 eV/atom. The calculation puts the energy relative to the lowest polymorph listed for this composition at 638.2 meV per atom.

The space group is Im-3m (No. 229) and the conventional cell measures 6.744, 6.744 and 6.744 Å, with angles of 90.00, 90.00 and 90.00 degrees. The distinct sites, in fractional coordinates, are Ta at (0.000, 0.000, 0.000) and Te at (0.250, 0.250, 0.250).

=====

No. 3
VASP calculation (PBE) on a geometry-optimized Ac12AlSn7 structure.

Its total magnetic moment is 0.0 μB/cell. For the energy relative to the elements, the calculation gives -430 meV/atom.

The space group is R-3 (No. 148, hexagonal axes) and the conventional cell measures 16.0033, 16.0033 and 10.2259 Å, with angles of 90.00, 90.00 and 120.00 degrees. The distinct sites, in fractional coordinates, are Ac at (0.0375, 0.8707, 0.1983), Ac at (0.0389, 0.7824, 0.5726), Al at (0.0000, 0.0000, 0.0000), Sn at (0.0000, 0.0000, 0.5000) and Sn at (0.0560, 0.5862, 0.5774).

=====

No. 4
VASP calculation (PBE) on a geometry-optimized TlOsAu4 structure.

Its total magnetic moment is 10.5 μB/cell. For the energy relative to the elements, the calculation gives 771 meV/atom.

The space group is F-43m (No. 216) and the conventional cell measures 7.830, 7.830 and 7.830 Å, with angles of 90.00, 90.00 and 90.00 degrees. The distinct sites, in fractional coordinates, are Tl at (0.000, 0.000, 0.000), Os at (0.250, 0.250, 0.250) and Au at (0.125, 0.125, 0.625).

=====

No. 5
VASP calculation (PBE) on a geometry-optimized Pm3GaHg2 structure.

Its total magnetic moment is 0.6 μB/cell. The calculation puts the energy relative to the lowest polymorph listed for this composition at 0.0 meV per atom. For the energy relative to the elements, the calculation gives -500 meV/atom.

The space group is P4/mmm (No. 123) and the conventional cell measures 3.740, 3.740 and 11.459 Å, with angles of 90.00, 90.00 and 90.00 degrees. The distinct sites, in fractional coordinates, are Pm at (0.000, 0.000, 0.000), Pm at (0.000, 0.000, 0.345), Ga at (0.500, 0.500, 0.500) and Hg at (0.500, 0.500, 0.172).

=====

No. 6
VASP calculation (PBE) on a geometry-optimized LaTb2Y5Ho structure.

Its total magnetic moment is 0.0 μB/cell. For the energy relative to the elements, the calculation gives 267 meV/atom.

The space group is I4/mcm (No. 140) and the conventional cell measures 8.910, 8.910 and 15.057 Å, with angles of 90.00, 90.00 and 90.00 degrees. The distinct sites, in fractional coordinates, are La at (0.000, 0.000, 0.250), Tb at (0.114, 0.386, 0.000), Y at (0.000, 0.000, 0.000), Y at (0.205, 0.295, 0.368) and Ho at (0.000, 0.500, 0.250).

=====

No. 7
VASP calculation (PBE) on a geometry-optimized Zn2SbTe structure.

Its total magnetic moment is 0.0 μB/cell. The value obtained for the formation energy (no corrections) is 0.00 eV/atom.

The space group is P4mm (No. 99) and the conventional cell measures 3.765, 3.765 and 7.228 Å, with angles of 90.00, 90.00 and 90.00 degrees. The distinct sites, in fractional coordinates, are Zn at (0.000, 0.000, 0.000), Zn at (0.500, 0.500, 0.236), Sb at (0.000, 0.000, 0.383) and Te at (0.500, 0.500, 0.855).

=====

No. 8
VASP calculation (PBE) on a geometry-optimized InCo2Se structure.

Its total magnetic moment is 10.3 μB/cell. The value obtained for the formation energy (no corrections) is 0.33 eV/atom. The calculation puts the energy relative to the lowest polymorph listed for this composition at 238.6 meV per atom.

The space group is Fm-3m (No. 225) and the conventional cell measures 6.250, 6.250 and 6.250 Å, with angles of 90.00, 90.00 and 90.00 degrees. The distinct sites, in fractional coordinates, are In at (0.000, 0.000, 0.000), Co at (0.250, 0.250, 0.250) and Se at (0.000, 0.000, 0.500).

=====

No. 9
VASP calculation (PBE) on a geometry-optimized BaPS2Cl structure.

Its total magnetic moment is 0.0 μB/cell. The value obtained for the formation energy (no corrections) is 0.62 eV/atom. The calculation puts the energy relative to the lowest polymorph listed for this composition at 1552.9 meV per atom.

The space group is P4/mmm (No. 123) and the conventional cell measures 5.929, 5.929 and 5.686 Å, with angles of 90.00, 90.00 and 90.00 degrees. The distinct sites, in fractional coordinates, are Ba at (0.000, 0.000, 0.000), P at (0.500, 0.500, 0.500), S at (0.000, 0.500, 0.000) and Cl at (0.000, 0.000, 0.500).

=====

No. 10
VASP calculation (PBE) on a geometry-optimized Rb5PdF8 structure.

Its total magnetic moment is 2.4 μB/cell. The value obtained for the formation energy (no corrections) is -2.24 eV/atom.

The space group is I-4 (No. 82) and the conventional cell measures 8.232, 8.232 and 8.681 Å, with angles of 90.00, 90.00 and 90.00 degrees. The distinct sites, in fractional coordinates, are Rb at (0.000, 0.000, 0.000), Rb at (0.134, 0.274, 0.609), Pd at (0.000, 0.500, 0.250), F at (0.032, 0.262, 0.264) and F at (0.099, 0.319, 0.926).

=====

No. 11
VASP calculation (PBE) on a geometry-optimized TbMgSb structure.

Its total magnetic moment is 3.8 μB/cell. The value obtained for the formation energy (no corrections) is -0.34 eV/atom. The calculation puts the energy relative to the lowest polymorph listed for this composition at 192.1 meV per atom.

The space group is R-3m (No. 166, hexagonal axes) and the conventional cell measures 4.4541, 4.4541 and 31.6020 Å, with angles of 90.00, 90.00 and 120.00 degrees. The distinct sites, in fractional coordinates, are Tb at (0.0000, 0.0000, 0.1240), Mg at (0.0000, 0.0000, 0.3030) and Sb at (0.0000, 0.0000, 0.3980).

=====

No. 12
VASP calculation (PBE) on a geometry-optimized Sr5LiIn4 structure.

Its total magnetic moment is 0.0 μB/cell. For the energy relative to the elements, the calculation gives -347 meV/atom.

The space group is P4/mmm (No. 123) and the conventional cell measures 4.126, 4.126 and 20.213 Å, with angles of 90.00, 90.00 and 90.00 degrees. The distinct sites, in fractional coordinates, are Sr at (0.000, 0.000, 0.000), Sr at (0.000, 0.000, 0.197), Sr at (0.000, 0.000, 0.391), Li at (0.500, 0.500, 0.500), In at (0.500, 0.500, 0.100) and In at (0.500, 0.500, 0.295).